P | DFT (GGA-PBE) results for crystalline KMoW at its relaxed geometry.

Calculated values
- Density of states at the Fermi level: 2.6 states/eV/cell

a b c (Å): 8.147 8.147 8.147
angles (deg): 161.26 155.64 30.91
Sites, in units of the cell vectors:
Mo  0.302  0.302  0.000
W  0.698  0.698  0.000
K  0.001  0.001  0.000

Q | DFT (GGA-PBE) results for crystalline KMoW at its relaxed geometry.

Calculated values
- Density of states at the Fermi level: 2.9 states/eV/cell

a b c (Å): 4.558 4.558 4.558
angles (deg): 60.00 60.00 60.00
Sites, in units of the cell vectors:
Mo  0.750  0.750  0.750
K  0.500  0.500  0.500
W  0.000  0.000  0.000

R | DFT (GGA-PBE) results for crystalline KMoW at its relaxed geometry.

Calculated values
- Density of states at the Fermi level: 2.4 states/eV/cell

a b c (Å): 8.786 8.786 8.786
angles (deg): 162.38 162.38 25.02
Sites, in units of the cell vectors:
W  0.684  0.684  0.000
K  0.001  0.001  0.000
Mo  0.315  0.315  0.000

S | DFT (GGA-PBE) results for crystalline KMoW at its relaxed geometry.

Calculated values
- Density of states at the Fermi level: 2.4 states/eV/cell

a b c (Å): 2.817 2.817 8.739
angles (deg): 90.00 90.00 120.00
Sites, in units of the cell vectors:
Mo  0.667  0.333  0.363
W  0.333  0.667  0.638
K  0.000  0.000  0.999

Ranked by calculated energy, most stable first: S, P, R, Q.

P | DFT (GGA-PBE) results for crystalline KMoW3 at its relaxed geometry.

Calculated values
- Density of states at the Fermi level: 7.6 states/eV/cell

a b c (Å): 4.462 4.462 4.462
angles (deg): 90.00 90.00 90.00
Sites, in units of the cell vectors:
W  0.000  0.500  0.000
W  0.500  0.000  0.000
W  0.000  0.000  0.500
Mo  0.500  0.500  0.500
K  0.000  0.000  0.000

Q | DFT (GGA-PBE) results for crystalline KMoW3 at its relaxed geometry.

Calculated values
- Density of states at the Fermi level: 6.9 states/eV/cell

a b c (Å): 4.883 4.883 4.883
angles (deg): 90.00 90.00 90.00
Sites, in units of the cell vectors:
W  0.000  0.500  0.000
W  0.500  0.000  0.000
W  0.000  0.000  0.500
K  0.500  0.500  0.500
Mo  0.000  0.000  0.000

Ranked by calculated energy, most stable first: Q, P.

P | DFT (GGA-PBE) results for crystalline KYMo at its relaxed geometry.

Calculated values
- Density of states at the Fermi level: 3.6 states/eV/cell

a b c (Å): 9.160 9.043 3.164
angles (deg): 82.09 77.90 20.01
Sites, in units of the cell vectors:
Y  0.700  0.700  0.300
Mo  0.316  0.316  0.684
K  0.984  0.984  0.016

Q | DFT (GGA-PBE) results for crystalline KYMo at its relaxed geometry.

Calculated values
- Density of states at the Fermi level: 3.0 states/eV/cell

a b c (Å): 7.244 7.244 7.244
angles (deg): 155.75 143.67 44.16
Sites, in units of the cell vectors:
K  0.010  0.010  0.000
Mo  0.704  0.704  0.000
Y  0.285  0.285  0.000

Ranked by calculated energy, most stable first: P, Q.